# LaY2Al2

A PBEsol-optimized structure of LaY2Al2 (SCAN, Alexandria via LeMat-Bulk).

abc: 8.4967 8.4967 3.6098
angles: 90.00 90.00 90.00
Element x y z (fractional)
La1 0.0000 0.0000 0.0000
La2 0.5000 0.5000 0.0000
Y1 0.1797 0.3203 0.5000
Y2 0.3203 0.8203 0.5000
Y3 0.6797 0.1797 0.5000
Y4 0.8203 0.6797 0.5000
Al1 0.1132 0.6132 0.0000
Al2 0.3868 0.1132 0.0000
Al3 0.6132 0.8868 0.0000
Al4 0.8868 0.3868 0.0000

Results
Magnetic moment, μB/cell: 0.4
Symmetry: P4/mbm (127)
Energy of formation from the pure elements, eV per atom: -0.332
Fermi-level density of states, states/eV per atom: 1.07
V, A^3/atom: 26.061



# TaPdBr2

A PBEsol-optimized structure of TaPdBr2 (SCAN, Alexandria via LeMat-Bulk).

abc: 4.6034 4.6034 4.6034
angles: 60.00 60.00 60.00
Element x y z (fractional)
Ta1 0.0000 0.0000 0.0000
Pd1 0.5000 0.5000 0.5000
Br1 0.2500 0.2500 0.2500
Br2 0.7500 0.7500 0.7500

Results
Magnetic moment, μB/cell: 0.0
Symmetry: Fm-3m (225)
Energy relative to the elements, uncorrected, eV per atom: 0.570
Fermi-level density of states, states/eV per atom: 0.48
V, A^3/atom: 17.244



# LiMgCd2

A PBEsol-optimized structure of LiMgCd2 (SCAN, Alexandria via LeMat-Bulk).

abc: 4.6072 4.6072 3.6077
angles: 90.00 90.00 90.10
Element x y z (fractional)
Li1 0.0000 0.0000 0.0000
Mg1 0.5000 0.5000 0.0000
Cd1 0.0000 0.5000 0.5000
Cd2 0.5000 0.0000 0.5000

Results
Magnetic moment, μB/cell: 0.0
Symmetry: Cmmm (65)
Energy of formation from the pure elements, eV per atom: -0.245
Fermi-level density of states, states/eV per atom: 0.25
V, A^3/atom: 19.145



# Cs3SbPt

A PBEsol-optimized structure of Cs3SbPt (SCAN, Alexandria via LeMat-Bulk).

abc: 7.0142 7.0142 7.0142
angles: 90.00 90.00 90.00
Element x y z (fractional)
Cs1 0.0000 0.0000 0.5000
Cs2 0.0000 0.5000 0.0000
Cs3 0.5000 0.0000 0.0000
Sb1 0.0000 0.0000 0.0000
Pt1 0.5000 0.5000 0.5000

Results
Magnetic moment, μB/cell: 2.0
Symmetry: Pm-3m (221)
Energy relative to the elements, uncorrected, eV per atom: 0.437
Fermi-level density of states, states/eV per atom: 1.73
V, A^3/atom: 69.018



# AlInAg2S4

A PBEsol-optimized structure of AlInAg2S4 (SCAN, Alexandria via LeMat-Bulk).

abc: 6.7619 6.7619 6.7619
angles: 130.04 130.04 73.34
Element x y z (fractional)
Al1 0.0000 0.0000 0.0000
In1 0.2500 0.7500 0.5000
Ag1 0.5000 0.5000 0.0000
Ag2 0.7500 0.2500 0.5000
S1 0.1162 0.1120 0.4633
S2 0.3470 0.8838 0.9958
S3 0.6487 0.6530 0.5367
S4 0.8880 0.3513 0.0042

Results
Magnetic moment, μB/cell: 0.0
Symmetry: I-4 (82)
Energy relative to the elements, uncorrected, eV per atom: -0.711
Fermi-level density of states, states/eV per atom: 0.00
V, A^3/atom: 22.112



# GaTeBr3

A PBEsol-optimized structure of GaTeBr3 (SCAN, Alexandria via LeMat-Bulk).

abc: 5.2094 5.2094 5.2094
angles: 90.00 90.00 90.00
Element x y z (fractional)
Ga1 0.0000 0.0000 0.0000
Te1 0.5000 0.5000 0.5000
Br1 0.0000 0.0000 0.5000
Br2 0.0000 0.5000 0.0000
Br3 0.5000 0.0000 0.0000

Results
Magnetic moment, μB/cell: 2.6
Symmetry: Pm-3m (221)
Energy relative to the elements, uncorrected, eV per atom: -0.096
Fermi-level density of states, states/eV per atom: 0.32
V, A^3/atom: 28.275



# K2BiCl

A PBEsol-optimized structure of K2BiCl (SCAN, Alexandria via LeMat-Bulk).

abc: 5.8555 5.8555 5.8555
angles: 60.00 60.00 60.00
Element x y z (fractional)
K1 0.2500 0.2500 0.2500
K2 0.7500 0.7500 0.7500
Bi1 0.0000 0.0000 0.0000
Cl1 0.5000 0.5000 0.5000

Results
Magnetic moment, μB/cell: 2.0
Symmetry: Fm-3m (225)
Energy relative to the elements, uncorrected, eV per atom: -0.726
Fermi-level density of states, states/eV per atom: 0.72
V, A^3/atom: 35.491



# ScPdF2

A PBEsol-optimized structure of ScPdF2 (SCAN, Alexandria via LeMat-Bulk).

abc: 8.0270 8.0270 8.0270
angles: 21.61 21.61 21.61
Element x y z (fractional)
Sc1 0.0000 0.0000 0.0000
Pd1 0.5000 0.5000 0.5000
F1 0.0817 0.0817 0.0817
F2 0.9183 0.9183 0.9183

Results
Magnetic moment, μB/cell: 0.6
Symmetry: R-3m (166)
Energy relative to the elements, uncorrected, eV per atom: -1.485
Fermi-level density of states, states/eV per atom: 0.50
V, A^3/atom: 15.365



# KSc2Ag

A PBEsol-optimized structure of KSc2Ag (SCAN, Alexandria via LeMat-Bulk).

abc: 11.2919 11.2919 11.2919
angles: 17.06 17.06 17.06
Element x y z (fractional)
K1 0.0000 0.0000 0.0000
Sc1 0.2304 0.2304 0.2304
Sc2 0.7696 0.7696 0.7696
Ag1 0.5000 0.5000 0.5000

Results
Magnetic moment, μB/cell: 0.2
Symmetry: R-3m (166)
Energy of formation from the pure elements, eV per atom: 0.305
Fermi-level density of states, states/eV per atom: 1.12
V, A^3/atom: 27.024



# Li2As2Pt

A PBEsol-optimized structure of Li2As2Pt (SCAN, Alexandria via LeMat-Bulk).

abc: 6.2984 6.2984 4.2315
angles: 90.00 90.00 90.00
Element x y z (fractional)
Li1 0.1715 0.3285 0.0000
Li2 0.3285 0.8285 0.0000
Li3 0.6715 0.1715 0.0000
Li4 0.8285 0.6715 0.0000
As1 0.1380 0.6380 0.5000
As2 0.3620 0.1380 0.5000
As3 0.6380 0.8620 0.5000
As4 0.8620 0.3620 0.5000
Pt1 0.0000 0.0000 0.5000
Pt2 0.5000 0.5000 0.5000

Results
Magnetic moment, μB/cell: 0.0
Symmetry: P4/mbm (127)
Energy of formation from the pure elements, eV per atom: -0.695
Fermi-level density of states, states/eV per atom: 0.24
V, A^3/atom: 16.787



# CsZn2Hg2

A PBEsol-optimized structure of CsZn2Hg2 (SCAN, Alexandria via LeMat-Bulk).

abc: 8.2567 8.2567 8.2567
angles: 149.95 149.95 43.01
Element x y z (fractional)
Cs1 0.0000 0.0000 0.0000
Zn1 0.2500 0.7500 0.5000
Zn2 0.7500 0.2500 0.5000
Hg1 0.3607 0.3607 0.0000
Hg2 0.6393 0.6393 0.0000

Results
Magnetic moment, μB/cell: 0.0
Symmetry: I4/mmm (139)
Energy of formation from the pure elements, eV per atom: -0.078
Fermi-level density of states, states/eV per atom: 0.25
V, A^3/atom: 28.153



# NbI5

A PBEsol-optimized structure of NbI5 (SCAN, Alexandria via LeMat-Bulk).

abc: 10.5174 6.2683 13.9182
angles: 90.00 109.01 90.00
Element x y z (fractional)
Nb1 0.2158 0.0093 0.3025
Nb2 0.2158 0.4907 0.8025
Nb3 0.7842 0.5093 0.1975
Nb4 0.7842 0.9907 0.6975
I1 0.0000 0.2458 0.6642
I2 0.0000 0.2542 0.1642
I3 0.0000 0.7458 0.8358
I4 0.0000 0.7542 0.3358
I5 0.1893 0.2467 0.9541
I6 0.1893 0.2533 0.4541
I7 0.1928 0.7423 0.6407
I8 0.1928 0.7577 0.1407
I9 0.3917 0.7497 0.4304
I10 0.3917 0.7503 0.9304
I11 0.3926 0.2305 0.7646
I12 0.3926 0.2695 0.2646
I13 0.6074 0.7305 0.7354
I14 0.6074 0.7695 0.2354
I15 0.6083 0.2497 0.0696
I16 0.6083 0.2503 0.5696
I17 0.8072 0.2423 0.8593
I18 0.8072 0.2577 0.3593
I19 0.8107 0.7467 0.5459
I20 0.8107 0.7533 0.0459

Results
Magnetic moment, μB/cell: 0.0
Symmetry: P2_1/c (14)
Energy relative to the elements, uncorrected, eV per atom: -0.408
V, A^3/atom: 36.146